[1]
CaMnCuGe2 | Alexandria via LeMat-Bulk | PBE-GGA | optimized geometry; DOS(E_F) = 2.533 states/eV/cell; magnetic moment = 3.202 μB/cell; electronic total energy = -5.24 eV per atom
1.0
4.1531 0.0000 0.0000
0.0000 4.1531 0.0000
-2.0766 -2.0766 5.2640
Ca Mn Cu Ge
1 1 1 2
Cartesian
0.0000 0.0000 0.0000 Ca
2.0766 0.0000 2.6320 Mn
0.0000 2.0766 2.6320 Cu
2.0766 2.0766 1.2881 Ge
0.0000 0.0000 3.9759 Ge

***

[2]
TlInMo2 | Alexandria via LeMat-Bulk | PBE-GGA | optimized geometry; DOS(E_F) = 3.269 states/eV/cell; magnetic moment = 0.000 μB/cell; electronic total energy = -6.01 eV per atom; offset from the most stable computed form = 1.41 eV/f.u.
1.0
5.5245 -0.0016 -0.0075
2.4081 4.9720 0.0075
-3.4383 -3.3279 2.7610
In Mo Tl
1 2 1
Cartesian
1.4681 2.0647 1.3842 In
0.0040 0.0025 0.0000 Mo
3.9623 2.4827 0.0000 Mo
3.0262 -0.4221 1.3768 Tl

***

[3]
TlTcP2 | Alexandria via LeMat-Bulk | PBE-GGA | optimized geometry; DOS(E_F) = 2.041 states/eV/cell; magnetic moment = 0.000 μB/cell; electronic total energy = -5.97 eV per atom; offset from the most stable computed form = 0.00 eV/f.u.
1.0
-1.7831 2.3880 0.3634
-0.9034 -0.2403 -2.8534
-6.1569 -4.9577 2.3668
P Tc Tl
2 1 1
Cartesian
-0.5015 -0.4038 0.1928 P
-2.5769 -2.0750 0.9906 P
-2.8825 -0.1656 -0.6533 Tc
-5.9610 -2.6445 0.5301 Tl

***

[4]
Cs2Sc3I8 | Alexandria via LeMat-Bulk | PBE-GGA | optimized geometry; DOS(E_F) = 2.230 states/eV/cell; magnetic moment = 3.083 μB/cell; electronic total energy = -3.74 eV per atom; raw formation energy = -1.19 eV/atom
1.0
-3.7374 4.1556 -6.3236
-5.2932 -5.3305 -0.3746
-1.6181 4.1555 9.3188
Cs Sc I
2 3 8
Cartesian
-3.4634 1.5273 3.0507 Cs
-7.1852 1.4532 -0.4300 Cs
-2.6466 -2.6652 -0.1873 Sc
-2.9125 3.2385 -4.9280 Sc
-0.8248 0.9171 -1.3956 Sc
-7.3622 -1.6979 -2.3962 I
-3.2864 4.6784 5.0168 I
-5.3583 -3.4066 0.9282 I
-5.2904 6.3872 1.6925 I
-5.1571 0.7228 6.4173 I
-7.0779 2.8586 3.1673 I
-3.5708 0.1220 -0.5467 I
-5.4916 2.2578 -3.7967 I

***

What did the first record say?
CaMnCuGe2 | Alexandria via LeMat-Bulk | PBE-GGA | optimized geometry; DOS(E_F) = 2.533 states/eV/cell; magnetic moment = 3.202 μB/cell; electronic total energy = -5.24 eV per atom
1.0
4.1531 0.0000 0.0000
0.0000 4.1531 0.0000
-2.0766 -2.0766 5.2640
Ca Mn Cu Ge
1 1 1 2
Cartesian
0.0000 0.0000 0.0000 Ca
2.0766 0.0000 2.6320 Mn
0.0000 2.0766 2.6320 Cu
2.0766 2.0766 1.2881 Ge
0.0000 0.0000 3.9759 Ge